{"formula": "LaInTe", "functional": "PBE", "state": "relaxed", "cell": [[2.6649, 1.5386, 8.3481], [-2.6649, 1.5386, 8.3481], [0.0000, -3.0771, 8.3481]], "species": ["La", "La", "In", "In", "Te", "Te"], "fractional_positions": [[0.0821, 0.0821, 0.0821], [0.9179, 0.9179, 0.9179], [0.3431, 0.3431, 0.3431], [0.6569, 0.6569, 0.6569], [0.2165, 0.2165, 0.2165], [0.7835, 0.7835, 0.7835]], "e_form_raw_ev_per_atom": -0.912, "spacegroup": "R-3m, No. 166", "total_energy_ev_per_atom": -4.515, "magnetic_moment_mub_per_cell": 0.0}